(1)
VASP calculation (SCAN) on a PBEsol-optimized structure of TlCoNi2.

Values from the calculation:
Its total DFT energy (no corrections) is -30.189 eV/atom. For the relative energy among the computed polymorphs, the calculation gives 0 meV per atom. As for the energy of formation: 313 meV/atom.

Cell lengths 2.8670, 3.2436, 5.6520 Å; angles 90.00, 90.00, 90.00 degrees
Closest atoms and distances in Å follow each position.
Positions (direct):
Tl (0.0000, 0.0000, 0.0000)  8 Ni 2.72, 2 Co 2.83, 2 Tl 2.87
Co (0.0000, 0.0000, 0.5000)  8 Ni 2.47
Ni (0.5000, 0.5000, 0.2900)  1 Ni 2.37, 4 Co 2.47
Ni (0.5000, 0.5000, 0.7100)  1 Ni 2.37, 4 Co 2.47

(2)
VASP calculation (SCAN) on a PBEsol-optimized structure of TlCoNi2.

Values from the calculation:
Its total DFT energy (no corrections) is -30.130 eV/atom. For the relative energy among the computed polymorphs, the calculation gives 59 meV per atom. As for the energy of formation: 373 meV/atom.

Cell lengths 3.0235, 3.0235, 5.7301 Å; angles 90.00, 90.00, 90.00 degrees
Closest atoms and distances in Å follow each position.
Positions (direct):
Tl (0.0000, 0.0000, 0.0000)  6 Ni 2.68-2.87, 4 Co 2.74
Co (0.5000, 0.5000, 0.2985)  5 Ni 2.40-2.43
Ni (0.0000, 0.0000, 0.4984)  4 Co 2.43, 4 Ni 2.48
Ni (0.5000, 0.5000, 0.7173)  1 Co 2.40, 4 Ni 2.48, 4 Tl 2.68

(3)
VASP calculation (SCAN) on a PBEsol-optimized structure of TlCoNi2.

Values from the calculation:
Its total DFT energy (no corrections) is -30.107 eV/atom. For the relative energy among the computed polymorphs, the calculation gives 82 meV per atom. As for the energy of formation: 395 meV/atom.

Cell lengths 5.3342, 6.9049, 2.8601 Å; angles 90.00, 90.00, 90.00 degrees
Closest atoms and distances in Å follow each position.
Positions (direct):
Tl (0.0000, 0.0000, 0.0000)  8 Ni 2.61, 2 Co 2.67, 2 Tl 2.86
Tl (0.5000, 0.5000, 0.0000)  8 Ni 2.61, 2 Co 2.67, 2 Tl 2.86
Co (0.0000, 0.5000, 0.0000)  8 Ni 2.61, 2 Tl 2.67, 2 Co 2.86
Co (0.5000, 0.0000, 0.0000)  8 Ni 2.61, 2 Tl 2.67, 2 Co 2.86
Ni (0.2500, 0.2500, 0.5000)  4 Tl 2.61, 4 Co 2.61, 4 Ni 2.67-2.86
Ni (0.2500, 0.7500, 0.5000)  4 Tl 2.61, 4 Co 2.61, 4 Ni 2.67-2.86
Ni (0.7500, 0.2500, 0.5000)  4 Tl 2.61, 4 Co 2.61, 4 Ni 2.67-2.86
Ni (0.7500, 0.7500, 0.5000)  4 Tl 2.61, 4 Co 2.61, 4 Ni 2.67-2.86